1.
A relaxed SiRu2Cl crystal, computed with PBE.

electronic total energy	-6.400	eV per atom
formation energy from raw total energies	1.3	kcal/mol of atoms
E above lowest polymorph	117	meV per atom
V	16.23	Å³ per atom
ρ	6.8	g cm⁻³

```
SiRu2Cl
1.0
2.908 0.000 0.000
0.000 3.492 0.000
0.000 0.000 12.782
Si Ru Cl
2 4 2
Direct
0.000 0.000 0.000
0.500 0.500 0.500
0.000 0.000 0.429
0.000 0.500 0.116
0.500 0.000 0.616
0.500 0.500 0.929
0.000 0.500 0.761
0.500 0.000 0.261
```

---

2.
A relaxed CsRuCl4 crystal, computed with PBE.

electronic total energy	-3.914	eV per atom
formation energy from raw total energies	-22.9	kcal/mol of atoms
E above lowest polymorph	0	meV per atom
V	35.38	Å³ per atom
ρ	2.9	g cm⁻³

```
CsRuCl4
1.0
5.066 -7.486 0.000
5.066 7.486 0.000
-2.787 0.000 5.597
Cs Ru Cl
2 2 8
Direct
0.189 0.811 0.750
0.811 0.189 0.250
0.442 0.558 0.250
0.558 0.442 0.750
0.173 0.513 0.273
0.303 0.410 0.824
0.410 0.303 0.324
0.487 0.827 0.227
0.513 0.173 0.773
0.590 0.697 0.676
0.697 0.590 0.176
0.827 0.487 0.727
```

---

3.
A relaxed La3HoSi2N6 crystal, computed with PBE.

electronic total energy	-7.831	eV per atom
formation energy from raw total energies	-26.5	kcal/mol of atoms
V	16.37	Å³ per atom
ρ	6.1	g cm⁻³

```
La3HoSi2N6
1.0
5.879 0.000 0.000
-2.939 5.091 0.000
0.000 0.000 6.564
La Ho Si N
3 1 2 6
Direct
0.000 0.000 0.000
0.333 0.667 0.648
0.667 0.333 0.352
0.000 0.000 0.500
0.333 0.667 0.195
0.667 0.333 0.805
0.176 0.351 0.285
0.176 0.824 0.285
0.351 0.176 0.715
0.649 0.824 0.285
0.824 0.176 0.715
0.824 0.649 0.715
```

---

4.
A relaxed BeZnSn crystal, computed with PBE.

electronic total energy	-2.775	eV per atom
DFT formation energy	0.226	eV/atom
V	17.79	Å³ per atom
ρ	6.0	g cm⁻³

```
BeZnSn
1.0
4.618 0.000 0.000
0.000 3.892 0.000
-0.009 0.000 5.937
Be Zn Sn
2 2 2
Direct
0.000 0.000 0.000
0.473 0.000 0.000
0.238 0.500 0.245
0.737 0.500 0.011
0.236 0.500 0.730
0.737 0.000 0.415
```

---

5.
A relaxed YScCu4 crystal, computed with PBE.

electronic total energy	-5.047	eV per atom
E above lowest polymorph	28	meV per atom
DFT formation energy	-0.184	eV/atom
V	16.27	Å³ per atom
ρ	6.6	g cm⁻³

```
YScCu4
1.0
0.000 3.655 3.655
3.655 0.000 3.655
3.655 3.655 0.000
Y Sc Cu
1 1 4
Direct
0.000 0.000 0.000
0.250 0.250 0.250
0.128 0.624 0.624
0.624 0.128 0.624
0.624 0.624 0.128
0.624 0.624 0.624
```

---

6.
A relaxed KCoCu crystal, computed with PBE.

electronic total energy	-3.461	eV per atom
E above lowest polymorph	0	meV per atom
DFT formation energy	0.639	eV/atom
V	20.53	Å³ per atom
ρ	4.4	g cm⁻³

```
KCoCu
1.0
2.670 0.000 0.000
0.000 3.989 0.000
0.000 0.000 11.562
K Co Cu
2 2 2
Direct
0.000 0.000 0.000
0.500 0.500 0.500
0.000 0.000 0.270
0.500 0.500 0.770
0.000 0.000 0.727
0.500 0.500 0.227
```

---

7.
A relaxed Np3Ga8Au3 crystal, computed with PBE.

electronic total energy	-5.318	eV per atom
DFT formation energy	-0.113	eV/atom
V	18.96	Å³ per atom
ρ	11.6	g cm⁻³

```
Np3Ga8Au3
1.0
-2.258 5.370 5.475
2.258 -5.370 5.475
2.258 5.370 -5.475
Np Ga Au
3 8 3
Direct
0.000 0.000 0.000
0.245 0.000 0.245
0.755 0.000 0.755
0.012 0.638 0.373
0.143 0.286 0.857
0.265 0.638 0.627
0.430 0.286 0.143
0.570 0.714 0.857
0.735 0.362 0.373
0.857 0.714 0.143
0.988 0.362 0.627
0.350 0.850 0.500
0.500 0.500 0.000
0.650 0.150 0.500
```

---

8.
A relaxed La6Pm2HoEr crystal, computed with PBE.

electronic total energy	-4.706	eV per atom
DFT formation energy	0.114	eV/atom
V	35.17	Å³ per atom
ρ	6.9	g cm⁻³

```
La6Pm2HoEr
1.0
4.941 -7.665 0.000
4.941 7.665 0.000
-0.194 0.000 9.286
La Pm Ho Er
12 4 2 2
Direct
0.036 0.473 0.681
0.068 0.783 0.903
0.217 0.932 0.597
0.276 0.576 0.089
0.424 0.724 0.411
0.473 0.036 0.181
0.527 0.964 0.819
0.576 0.276 0.589
0.724 0.424 0.911
0.783 0.068 0.403
0.932 0.217 0.097
0.964 0.527 0.319
0.206 0.295 0.437
0.295 0.206 0.937
0.705 0.794 0.063
0.794 0.705 0.563
0.436 0.564 0.750
0.564 0.436 0.250
0.072 0.928 0.250
0.928 0.072 0.750
```